1.
VASP calculation (PBE) on a relaxed structure of Sm5Ho2Sb5.

Unit cell a=7.567 b=7.567 c=12.729 alpha=109.31 beta=109.31 gamma=33.89
Fractional positions:
Sm 0.000 0.000 0.000
Sm 0.160 0.160 0.537
Sm 0.225 0.225 0.846
Sm 0.775 0.775 0.154
Sm 0.840 0.840 0.463
Ho 0.454 0.454 0.711
Ho 0.546 0.546 0.289
Sb 0.191 0.191 0.289
Sb 0.383 0.383 0.074
Sb 0.500 0.500 0.500
Sb 0.617 0.617 0.926
Sb 0.809 0.809 0.711

Properties
As for the volume: 31.78 A^3/atom. The final energy is -64.048 eV/cell. The value obtained for the uncorrected formation energy is -0.89 eV per atom.


2.
VASP calculation (PBE) on a relaxed structure of Mg3TaAu.

Unit cell a=4.939 b=4.939 c=4.939 alpha=90.00 beta=90.00 gamma=90.00
Fractional positions:
Mg 0.000 0.000 0.500
Mg 0.000 0.500 0.000
Mg 0.500 0.000 0.000
Ta 0.500 0.500 0.500
Au 0.000 0.000 0.000

Properties
As for the volume: 24.09 A^3/atom. The polymorph energy (0 for the lowest one) comes out at 0 meV per atom. The final energy is -16.320 eV/cell.


3.
VASP calculation (PBE) on a relaxed structure of SrLi2Mn.

Unit cell a=3.581 b=3.581 c=29.643 alpha=90.00 beta=90.00 gamma=120.00
Fractional positions:
Sr 0.000 0.000 0.000
Sr 0.333 0.667 0.667
Sr 0.667 0.333 0.333
Li 0.000 0.000 0.234
Li 0.000 0.000 0.766
Li 0.333 0.667 0.432
Li 0.333 0.667 0.901
Li 0.667 0.333 0.099
Li 0.667 0.333 0.568
Mn 0.000 0.000 0.500
Mn 0.333 0.667 0.167
Mn 0.667 0.333 0.833

Properties
As for the volume: 27.44 A^3/atom. The polymorph energy (0 for the lowest one) comes out at 217 meV per atom. The final energy is -37.144 eV/cell.


4.
VASP calculation (PBE) on a relaxed structure of KIr2C.

Unit cell a=6.490 b=6.490 c=7.894 alpha=90.00 beta=90.00 gamma=90.00
Fractional positions:
K 0.000 0.000 0.000
K 0.000 0.500 0.250
K 0.500 0.000 0.750
K 0.500 0.500 0.500
Ir 0.055 0.250 0.625
Ir 0.250 0.555 0.875
Ir 0.250 0.945 0.375
Ir 0.445 0.250 0.125
Ir 0.555 0.750 0.125
Ir 0.750 0.055 0.375
Ir 0.750 0.445 0.875
Ir 0.945 0.750 0.625
C 0.000 0.000 0.500
C 0.000 0.500 0.750
C 0.500 0.000 0.250
C 0.500 0.500 0.000

Properties
As for the volume: 20.78 A^3/atom. The final energy is -100.977 eV/cell.